Record 1
TmMn9Tc2 | the Alexandria database | PBE | relaxed; crystal system = trigonal; calculated formation energy = 0.0146 eV per atom
1.0
4.549 0.000 1.354
2.073 4.049 1.354
0.027 0.017 8.227
Tc Mn Tm
2 9 1
Cartesian
0.946 0.578 5.141
5.704 3.488 5.794
3.777 3.761 3.947
4.374 2.675 1.941
3.325 2.033 5.468
2.872 0.305 6.988
2.696 1.649 3.241
2.275 1.391 8.994
1.581 2.417 6.988
5.069 1.649 3.947
3.954 2.417 7.694
0.000 0.000 0.000

***

Record 2
TmMnTc | the Alexandria database | PBE | relaxed; crystal system = orthorhombic; calculated formation energy = 0.1593 eV per atom
1.0
-3.007 -1.462 2.212
2.199 -4.125 0.261
4.118 2.420 3.565
Tm Mn Tc
2 2 2
Cartesian
2.118 -2.791 1.034
1.192 -0.376 5.004
1.536 -2.927 3.786
1.773 -0.241 2.252
3.609 -1.828 3.698
-0.299 -1.340 2.341

***

Record 3
TmMn3Tc3 | the Alexandria database | PBE | relaxed; crystal system = cubic; calculated formation energy = 0.7632 eV per atom
1.0
6.403 0.000 0.000
0.000 6.403 0.000
0.000 0.000 6.403
Mn Tc Tm
6 6 2
Cartesian
3.202 0.000 1.601
0.000 1.601 3.202
3.202 0.000 4.802
1.601 3.202 0.000
4.802 3.202 0.000
0.000 4.802 3.202
1.601 0.000 3.202
3.202 1.601 0.000
4.802 0.000 3.202
0.000 3.202 1.601
3.202 4.802 0.000
0.000 3.202 4.802
3.202 3.202 3.202
0.000 0.000 0.000

***

Record 4
TmMnTc | the Alexandria database | PBE | relaxed; crystal system = tetragonal; calculated formation energy = 0.0881 eV per atom
1.0
-1.840 -1.371 2.081
0.998 -2.776 -0.946
4.397 2.262 3.074
Tm Mn Tc
1 1 1
Cartesian
3.551 -1.884 4.206
2.427 0.115 2.222
1.131 -1.999 1.989

***

Record 5
TmMnTc | the Alexandria database | PBE | relaxed; crystal system = orthorhombic; calculated formation energy = -0.1229 eV per atom
1.0
4.673 0.000 2.624
1.617 4.307 2.594
0.110 0.188 5.277
Tc Tm Mn
2 2 2
Cartesian
2.392 0.094 3.950
3.145 2.154 2.609
4.731 1.695 5.258
1.670 2.800 5.237
0.000 0.000 0.000
2.337 0.000 1.312

***

Record 6
TmZrMnTc | the Alexandria database | PBE | relaxed; crystal system = cubic; calculated formation energy = -0.0310 eV per atom
1.0
-0.107 -1.119 4.607
1.839 -4.111 1.485
4.013 -0.027 2.527
Tc Mn Tm Zr
1 1 1 1
Cartesian
2.872 -2.629 4.310
0.000 0.000 0.000
1.436 -1.314 2.155
4.309 -3.943 6.464

***

Record 7
UMnTc | the Alexandria database | PBE | relaxed; crystal system = tetragonal; calculated formation energy = 0.0809 eV per atom
1.0
3.618 0.000 0.000
0.000 3.618 0.000
-1.809 -1.809 3.829
Mn U Tc
1 1 1
Cartesian
1.809 1.809 3.717
0.000 0.000 2.109
1.809 1.809 0.684

***

Record 8
UMnTc | the Alexandria database | PBE | relaxed; crystal system = tetragonal; calculated formation energy = 0.5278 eV per atom
1.0
3.665 0.000 0.000
0.000 3.665 0.000
0.000 0.000 7.266
Mn Tc U
2 2 2
Cartesian
0.000 1.832 1.322
1.832 0.000 5.944
0.000 1.832 6.354
1.832 0.000 0.913
1.832 1.832 3.633
0.000 0.000 3.633

***

Record 9
UMnTc2 | the Alexandria database | PBE | relaxed; crystal system = tetragonal; calculated formation energy = -0.0472 eV per atom
1.0
3.402 0.000 0.000
0.000 4.379 0.000
0.000 0.000 4.379
Tc Mn U
2 1 1
Cartesian
0.000 0.000 2.189
0.000 2.189 0.000
1.701 0.000 0.000
1.701 2.189 2.189

***

Record 10
UMnTc2 | the Alexandria database | PBE | relaxed; crystal system = trigonal; calculated formation energy = 0.2613 eV per atom
1.0
2.767 0.000 0.000
1.384 2.396 0.000
1.384 0.799 9.307
Mn Tc U
1 2 1
Cartesian
0.000 0.000 0.000
4.151 2.396 7.327
1.384 0.799 1.979
2.767 1.598 4.653

***

Record 11
UMnTc | the Alexandria database | PBE | relaxed; crystal system = trigonal; calculated formation energy = 0.1026 eV per atom
1.0
2.812 0.000 0.000
0.000 4.362 0.000
0.000 -2.181 3.778
Mn Tc U
1 1 1
Cartesian
1.618 2.181 1.259
0.206 0.000 0.000
0.989 0.000 2.518

***

Record 12
UMnTc2 | the Alexandria database | PBE | relaxed; crystal system = cubic; calculated formation energy = 0.1087 eV per atom
1.0
4.533 0.000 0.000
2.266 3.926 0.000
2.266 1.309 3.701
Tc Mn U
2 1 1
Cartesian
2.266 1.309 0.925
6.799 3.926 2.776
0.000 0.000 0.000
4.533 2.617 1.851

***

Record 13
ZrUMnTc | the Alexandria database | PBE | relaxed; crystal system = cubic; calculated formation energy = 0.0216 eV per atom
1.0
-4.035 -1.662 -1.644
-0.962 -4.549 0.347
-3.294 -1.468 2.956
Zr Tc U Mn
1 1 1 1
Cartesian
0.000 0.000 0.000
-2.073 -1.920 0.415
-4.145 -3.840 0.829
-6.218 -5.760 1.244

***

Record 14
MnV2Tc | the Alexandria database | PBE | relaxed; crystal system = orthorhombic; calculated formation energy = 0.4917 eV per atom
1.0
0.950 4.797 2.031
-3.635 -3.586 1.400
4.926 1.931 0.195
V Mn Tc
2 1 1
Cartesian
4.500 5.153 1.705
1.376 1.575 0.521
0.000 0.000 0.000
2.938 3.364 1.113

***

Record 15
MnV2Tc | the Alexandria database | PBE | relaxed; crystal system = tetragonal; calculated formation energy = 0.4451 eV per atom
1.0
6.562 0.000 0.000
0.000 6.562 0.000
3.281 3.281 2.566
Mn V Tc
2 4 2
Cartesian
3.281 6.562 1.283
3.281 3.281 0.000
8.203 8.100 1.925
4.922 5.024 1.925
4.819 1.641 0.642
1.743 4.922 0.642
6.562 3.281 1.283
0.000 0.000 0.000

***

Record 16
Mn3V4Tc | the Alexandria database | PBE | relaxed; crystal system = tetragonal; calculated formation energy = -0.2792 eV per atom
1.0
2.917 0.000 0.000
0.000 2.917 0.000
0.000 0.000 11.664
V Mn Tc
4 3 1
Cartesian
0.000 0.000 4.409
0.000 0.000 7.255
0.000 0.000 10.111
0.000 0.000 1.552
1.458 1.458 8.691
1.458 1.458 5.832
1.458 1.458 2.972
1.458 1.458 0.000

***

Record 17
Mn4V5Tc | the Alexandria database | PBE | relaxed; crystal system = tetragonal; calculated formation energy = -0.2773 eV per atom
1.0
-0.298 1.296 2.587
-2.857 0.279 -0.469
-2.284 -12.944 6.219
Tc Mn V
1 4 5
Cartesian
0.000 0.000 0.000
-1.366 -7.745 3.721
-0.917 -5.199 2.498
-0.468 -2.652 1.274
-1.816 -10.292 4.945
-2.719 -5.685 4.169
-3.617 -10.771 6.613
-3.167 -8.224 5.389
-2.271 -3.145 2.949
-1.822 -0.599 1.725

***

Record 18
MnV2Tc | the Alexandria database | PBE | relaxed; crystal system = orthorhombic; calculated formation energy = -0.2994 eV per atom
1.0
2.951 0.000 -0.256
0.000 4.191 0.001
0.720 -0.001 8.293
V Mn Tc
4 2 2
Cartesian
0.265 1.047 3.047
3.587 1.047 7.069
3.406 3.142 4.990
0.084 3.143 0.969
2.108 3.142 7.166
1.562 1.048 0.872
1.929 1.047 5.095
1.742 3.143 2.943

***

Record 19
MnVTc2 | the Alexandria database | PBE | relaxed; crystal system = tetragonal; calculated formation energy = -0.1343 eV per atom
1.0
3.036 0.000 0.000
0.000 4.242 0.000
0.000 0.000 4.242
Mn Tc V
1 2 1
Cartesian
1.518 0.000 0.000
0.000 2.121 0.000
0.000 0.000 2.121
1.518 2.121 2.121

***

Record 20
Mn2V4Tc | the Alexandria database | PBE | relaxed; crystal system = tetragonal; calculated formation energy = 0.9923 eV per atom
1.0
-3.489 -1.692 -2.260
2.696 -0.929 -3.466
0.756 -6.876 -0.474
Mn V Tc
2 4 1
Cartesian
0.098 -6.925 -3.879
-0.135 -2.572 -2.321
0.302 -4.684 -1.415
1.348 -0.465 -1.733
-1.744 -0.846 -1.130
-0.339 -4.813 -4.785
0.000 0.000 0.000